DFT (PBE) results for a relaxed AcEuDyHg crystal.

The structure in CIF format:
```
data_AcEuDyHg
_cell_length_a 5.693
_cell_length_b 5.693
_cell_length_c 5.693
_cell_angle_alpha 60.00
_cell_angle_beta 60.00
_cell_angle_gamma 60.00
_symmetry_space_group_name_H-M 'P 1'
_symmetry_Int_Tables_number 1
_symmetry_space_group_name_Hall 'P 1'
loop_
_atom_site_label
_atom_site_type_symbol
_atom_site_fract_x
_atom_site_fract_y
_atom_site_fract_z
Eu1 Eu 0.000 0.000 0.000
Dy1 Dy 0.500 0.500 0.500
Hg1 Hg 0.250 0.250 0.250
Ac1 Ac 0.750 0.750 0.750
```

Results
ΔH_f (0 K) (eV per atom): 0.044



DFT (PBE) results for a relaxed AcEuDyMg crystal.

The structure in CIF format:
```
data_AcEuDyMg
_cell_length_a 5.823
_cell_length_b 5.823
_cell_length_c 5.823
_cell_angle_alpha 60.00
_cell_angle_beta 60.00
_cell_angle_gamma 60.00
_symmetry_space_group_name_H-M 'P 1'
_symmetry_Int_Tables_number 1
_symmetry_space_group_name_Hall 'P 1'
loop_
_atom_site_label
_atom_site_type_symbol
_atom_site_fract_x
_atom_site_fract_y
_atom_site_fract_z
Dy1 Dy 0.750 0.750 0.750
Mg1 Mg 0.000 0.000 0.000
Ac1 Ac 0.500 0.500 0.500
Eu1 Eu 0.250 0.250 0.250
```

Results
ΔH_f (0 K) (eV per atom): 0.124



DFT (PBE) results for a relaxed AcEuDyPb crystal.

The structure in CIF format:
```
data_AcEuDyPb
_cell_length_a 5.736
_cell_length_b 5.736
_cell_length_c 5.736
_cell_angle_alpha 60.00
_cell_angle_beta 60.00
_cell_angle_gamma 60.00
_symmetry_space_group_name_H-M 'P 1'
_symmetry_Int_Tables_number 1
_symmetry_space_group_name_Hall 'P 1'
loop_
_atom_site_label
_atom_site_type_symbol
_atom_site_fract_x
_atom_site_fract_y
_atom_site_fract_z
Pb1 Pb 0.250 0.250 0.250
Ac1 Ac 0.750 0.750 0.750
Eu1 Eu 0.000 0.000 0.000
Dy1 Dy 0.500 0.500 0.500
```

Results
ΔH_f (0 K) (eV per atom): -0.062



DFT (PBE) results for a relaxed AcPmEuDy crystal.

The structure in CIF format:
```
data_AcPmEuDy
_cell_length_a 5.974
_cell_length_b 5.974
_cell_length_c 5.974
_cell_angle_alpha 60.00
_cell_angle_beta 60.00
_cell_angle_gamma 60.00
_symmetry_space_group_name_H-M 'P 1'
_symmetry_Int_Tables_number 1
_symmetry_space_group_name_Hall 'P 1'
loop_
_atom_site_label
_atom_site_type_symbol
_atom_site_fract_x
_atom_site_fract_y
_atom_site_fract_z
Eu1 Eu 0.000 0.000 0.000
Dy1 Dy 0.500 0.500 0.500
Ac1 Ac 0.250 0.250 0.250
Pm1 Pm 0.750 0.750 0.750
```

Results
ΔH_f (0 K) (eV per atom): 0.130



DFT (PBE) results for a relaxed AcEuDySn crystal.

The structure in CIF format:
```
data_AcEuDySn
_cell_length_a 5.663
_cell_length_b 5.663
_cell_length_c 5.663
_cell_angle_alpha 60.00
_cell_angle_beta 60.00
_cell_angle_gamma 60.00
_symmetry_space_group_name_H-M 'P 1'
_symmetry_Int_Tables_number 1
_symmetry_space_group_name_Hall 'P 1'
loop_
_atom_site_label
_atom_site_type_symbol
_atom_site_fract_x
_atom_site_fract_y
_atom_site_fract_z
Ac1 Ac 0.500 0.500 0.500
Sn1 Sn 0.000 0.000 0.000
Eu1 Eu 0.750 0.750 0.750
Dy1 Dy 0.250 0.250 0.250
```

Results
ΔH_f (0 K) (eV per atom): -0.154



DFT (PBE) results for a relaxed AcTbEuDy crystal.

The structure in CIF format:
```
data_AcTbEuDy
_cell_length_a 5.939
_cell_length_b 5.939
_cell_length_c 5.939
_cell_angle_alpha 60.00
_cell_angle_beta 60.00
_cell_angle_gamma 60.00
_symmetry_space_group_name_H-M 'P 1'
_symmetry_Int_Tables_number 1
_symmetry_space_group_name_Hall 'P 1'
loop_
_atom_site_label
_atom_site_type_symbol
_atom_site_fract_x
_atom_site_fract_y
_atom_site_fract_z
Dy1 Dy 0.500 0.500 0.500
Tb1 Tb 0.750 0.750 0.750
Ac1 Ac 0.250 0.250 0.250
Eu1 Eu 0.000 0.000 0.000
```

Results
ΔH_f (0 K) (eV per atom): 0.145